[1]
! PBE NbSbTe2Mo, relaxed; values from VASP
! E: -5.28 eV per atom
! E above lowest polymorph: 0 meV per atom
! symmetry: P4/mmm, No. 123
&SYSTEM
  ibrav = 0, nat = 5, ntyp = 4
/
ATOMIC_SPECIES
Nb 92.91 Nb.upf
Sb 121.76 Sb.upf
Te 127.60 Te.upf
Mo 95.94 Mo.upf
CELL_PARAMETERS angstrom
5.3834 0.0000 0.0000
0.0000 5.3834 0.0000
0.0000 0.0000 5.4022
ATOMIC_POSITIONS crystal
Nb 0.0000 0.0000 0.0000
Sb 0.0000 0.0000 0.5000
Te 0.0000 0.5000 0.0000
Te 0.5000 0.0000 0.0000
Mo 0.5000 0.5000 0.5000

[2]
! PBE Be2MoRu, relaxed; values from VASP
! E: -6.60 eV per atom
! E above lowest polymorph: 483 meV per atom
! symmetry: I-42d, No. 122
! ΔE_f: 0.291 eV per atom
&SYSTEM
  ibrav = 0, nat = 8, ntyp = 3
/
ATOMIC_SPECIES
Be 9.01 Be.upf
Mo 95.94 Mo.upf
Ru 101.07 Ru.upf
CELL_PARAMETERS angstrom
-3.0960 3.0960 2.5388
3.0960 -3.0960 2.5388
3.0960 3.0960 -2.5388
ATOMIC_POSITIONS crystal
Be 0.1125 0.6250 0.9875
Be 0.3750 0.3625 0.4875
Be 0.6375 0.1250 0.0125
Be 0.8750 0.8875 0.5125
Mo 0.2500 0.7500 0.5000
Mo 0.5000 0.5000 0.0000
Ru 0.0000 0.0000 0.0000
Ru 0.7500 0.2500 0.5000

[3]
! PBE Li2NiMo, relaxed; values from VASP
! E: -4.51 eV per atom
! E above lowest polymorph: 447 meV per atom
! symmetry: P4/mmm, No. 123
! ΔE_f: 0.602 eV per atom
&SYSTEM
  ibrav = 0, nat = 4, ntyp = 3
/
ATOMIC_SPECIES
Li 6.94 Li.upf
Ni 58.69 Ni.upf
Mo 95.94 Mo.upf
CELL_PARAMETERS angstrom
4.5613 0.0000 0.0000
0.0000 4.5613 0.0000
0.0000 0.0000 2.5169
ATOMIC_POSITIONS crystal
Li 0.0000 0.5000 0.0000
Li 0.5000 0.0000 0.0000
Ni 0.0000 0.0000 0.5000
Mo 0.5000 0.5000 0.5000

[4]
! PBE Np2Cr2MoC4, relaxed; values from VASP
! E: -10.32 eV per atom
! symmetry: C2/m, No. 12
! ΔE_f: 0.000 eV per atom
&SYSTEM
  ibrav = 0, nat = 9, ntyp = 4
/
ATOMIC_SPECIES
Np 237.00 Np.upf
Cr 52.00 Cr.upf
Mo 95.94 Mo.upf
C 12.01 C.upf
CELL_PARAMETERS angstrom
6.6453 -1.5023 0.0000
6.6453 1.5023 0.0000
-1.2341 0.0000 5.3877
ATOMIC_POSITIONS crystal
Np 0.1245 0.1245 0.0280
Np 0.8755 0.8755 0.9720
Cr 0.3216 0.3216 0.4682
Cr 0.6784 0.6784 0.5318
Mo 0.0000 0.0000 0.5000
C 0.2429 0.2429 0.7417
C 0.4584 0.4584 0.7388
C 0.5416 0.5416 0.2612
C 0.7571 0.7571 0.2583

[5]
! PBE CaMg4Tl5, relaxed; values from VASP
! E: -2.14 eV per atom
! symmetry: P4/mmm, No. 123
! ΔE_f: -0.119 eV per atom
&SYSTEM
  ibrav = 0, nat = 10, ntyp = 3
/
ATOMIC_SPECIES
Ca 40.08 Ca.upf
Mg 24.30 Mg.upf
Tl 204.38 Tl.upf
CELL_PARAMETERS angstrom
3.7250 0.0000 0.0000
0.0000 3.7250 0.0000
0.0000 0.0000 18.4147
ATOMIC_POSITIONS crystal
Ca 0.0000 0.0000 0.0000
Mg 0.0000 0.0000 0.2061
Mg 0.0000 0.0000 0.4007
Mg 0.0000 0.0000 0.5993
Mg 0.0000 0.0000 0.7939
Tl 0.5000 0.5000 0.1123
Tl 0.5000 0.5000 0.3050
Tl 0.5000 0.5000 0.5000
Tl 0.5000 0.5000 0.6950
Tl 0.5000 0.5000 0.8877

[6]
! PBE AgMo2As, relaxed; values from VASP
! E: -6.82 eV per atom
! symmetry: C2/m, No. 12
! ΔE_f: 0.469 eV per atom
&SYSTEM
  ibrav = 0, nat = 4, ntyp = 3
/
ATOMIC_SPECIES
Ag 107.87 Ag.upf
Mo 95.94 Mo.upf
As 74.92 As.upf
CELL_PARAMETERS angstrom
2.7618 -4.3912 0.0000
2.7618 4.3912 0.0000
-0.7650 0.0000 2.6880
ATOMIC_POSITIONS crystal
Ag 0.0000 0.0000 0.0000
Mo 0.0000 0.5000 0.5000
Mo 0.5000 0.0000 0.5000
As 0.5000 0.5000 0.0000

[7]
! PBE CaAcHoIn, relaxed; values from VASP
! E: -3.35 eV per atom
! symmetry: F-43m, No. 216
! ΔE_f: 0.004 eV per atom
&SYSTEM
  ibrav = 0, nat = 4, ntyp = 4
/
ATOMIC_SPECIES
Ca 40.08 Ca.upf
Ac 227.00 Ac.upf
Ho 164.93 Ho.upf
In 114.82 In.upf
CELL_PARAMETERS angstrom
0.0000 4.0465 4.0465
4.0465 0.0000 4.0465
4.0465 4.0465 0.0000
ATOMIC_POSITIONS crystal
Ca 0.0000 0.0000 0.0000
Ac 0.7500 0.7500 0.7500
Ho 0.5000 0.5000 0.5000
In 0.2500 0.2500 0.2500

[8]
! PBE YCuNiPd, relaxed; values from VASP
! E: -5.70 eV per atom
! symmetry: F-43m, No. 216
! ΔE_f: -0.318 eV per atom
&SYSTEM
  ibrav = 0, nat = 4, ntyp = 4
/
ATOMIC_SPECIES
Y 88.91 Y.upf
Cu 63.55 Cu.upf
Ni 58.69 Ni.upf
Pd 106.42 Pd.upf
CELL_PARAMETERS angstrom
0.0000 3.2102 3.2102
3.2102 0.0000 3.2102
3.2102 3.2102 0.0000
ATOMIC_POSITIONS crystal
Y 0.0000 0.0000 0.0000
Cu 0.5000 0.5000 0.5000
Ni 0.7500 0.7500 0.7500
Pd 0.2500 0.2500 0.2500

[9]
! PBE HoLuSnAu, relaxed; values from VASP
! E: -4.78 eV per atom
! symmetry: F-43m, No. 216
! ΔE_f: -0.687 eV per atom
&SYSTEM
  ibrav = 0, nat = 4, ntyp = 4
/
ATOMIC_SPECIES
Ho 164.93 Ho.upf
Lu 174.97 Lu.upf
Sn 118.71 Sn.upf
Au 196.97 Au.upf
CELL_PARAMETERS angstrom
0.0000 3.6479 3.6479
3.6479 0.0000 3.6479
3.6479 3.6479 0.0000
ATOMIC_POSITIONS crystal
Ho 0.0000 0.0000 0.0000
Lu 0.5000 0.5000 0.5000
Sn 0.2500 0.2500 0.2500
Au 0.7500 0.7500 0.7500

[10]
! PBE AcPrNd3Er, relaxed; values from VASP
! E: -4.59 eV per atom
! symmetry: P2_1/m, No. 11
! ΔE_f: 0.034 eV per atom
&SYSTEM
  ibrav = 0, nat = 12, ntyp = 4
/
ATOMIC_SPECIES
Ac 227.00 Ac.upf
Pr 140.91 Pr.upf
Nd 144.24 Nd.upf
Er 167.26 Er.upf
CELL_PARAMETERS angstrom
8.2974 0.0000 0.0000
0.0000 5.2557 0.0000
-3.3647 0.0000 9.9414
ATOMIC_POSITIONS crystal
Ac 0.1698 0.2500 0.2939
Ac 0.8302 0.7500 0.7061
Pr 0.4967 0.7500 0.8739
Pr 0.5033 0.2500 0.1261
Nd 0.1715 0.2500 0.7915
Nd 0.1707 0.7500 0.0410
Nd 0.1730 0.7500 0.5454
Nd 0.8270 0.2500 0.4546
Nd 0.8293 0.2500 0.9590
Nd 0.8285 0.7500 0.2085
Er 0.4986 0.2500 0.6250
Er 0.5014 0.7500 0.3750

[11]
! PBE KTlH2, relaxed; values from VASP
! E: -2.41 eV per atom
! E above lowest polymorph: 0 meV per atom
! symmetry: R3m, No. 160
&SYSTEM
  ibrav = 0, nat = 4, ntyp = 3
/
ATOMIC_SPECIES
K 39.10 K.upf
Tl 204.38 Tl.upf
H 1.01 H.upf
CELL_PARAMETERS angstrom
1.8932 1.0931 6.6844
-1.8932 1.0931 6.6844
0.0000 -2.1861 6.6844
ATOMIC_POSITIONS crystal
K 0.0000 0.0000 0.0000
Tl 0.1716 0.1716 0.1716
H 0.4199 0.4199 0.4199
H 0.5861 0.5861 0.5861

[12]
! PBE CaCo2Au, relaxed; values from VASP
! E: -4.82 eV per atom
! symmetry: Pmm2, No. 25
! ΔE_f: 0.056 eV per atom
&SYSTEM
  ibrav = 0, nat = 4, ntyp = 3
/
ATOMIC_SPECIES
Ca 40.08 Ca.upf
Co 58.93 Co.upf
Au 196.97 Au.upf
CELL_PARAMETERS angstrom
3.0993 0.0000 0.0000
0.0000 3.1508 0.0000
0.0000 0.0000 6.9648
ATOMIC_POSITIONS crystal
Ca 0.0000 0.0000 0.0000
Co 0.0000 0.0000 0.5562
Co 0.5000 0.5000 0.6933
Au 0.5000 0.5000 0.3071

[13]
! PBE LiBiH6Rh2, relaxed; values from VASP
! E: -4.13 eV per atom
! symmetry: C2/c, No. 15
&SYSTEM
  ibrav = 0, nat = 20, ntyp = 4
/
ATOMIC_SPECIES
Li 6.94 Li.upf
Bi 208.98 Bi.upf
H 1.01 H.upf
Rh 102.91 Rh.upf
CELL_PARAMETERS angstrom
4.2251 -4.6477 0.0000
4.2251 4.6477 0.0000
-1.5383 0.0000 4.9535
ATOMIC_POSITIONS crystal
Li 0.0700 0.9300 0.7500
Li 0.9300 0.0700 0.2500
Bi 0.3609 0.6391 0.2500
Bi 0.6391 0.3609 0.7500
H 0.0025 0.4139 0.3236
H 0.0139 0.8025 0.3914
H 0.1822 0.2875 0.9228
H 0.1975 0.9861 0.1086
H 0.2875 0.1822 0.4228
H 0.4139 0.0025 0.8236
H 0.5861 0.9975 0.1764
H 0.7125 0.8178 0.5772
H 0.8025 0.0139 0.8914
H 0.8178 0.7125 0.0772
H 0.9861 0.1975 0.6086
H 0.9975 0.5861 0.6764
Rh 0.1822 0.3897 0.6286
Rh 0.3897 0.1822 0.1286
Rh 0.6103 0.8178 0.8714
Rh 0.8178 0.6103 0.3714

[14]
! PBE CsBaCd2Ag, relaxed; values from VASP
! E: -1.47 eV per atom
! symmetry: P4/mmm, No. 123
! ΔE_f: 0.024 eV per atom
&SYSTEM
  ibrav = 0, nat = 5, ntyp = 4
/
ATOMIC_SPECIES
Cs 132.91 Cs.upf
Ba 137.33 Ba.upf
Cd 112.41 Cd.upf
Ag 107.87 Ag.upf
CELL_PARAMETERS angstrom
5.6854 0.0000 0.0000
0.0000 5.6854 0.0000
0.0000 0.0000 6.0729
ATOMIC_POSITIONS crystal
Cs 0.0000 0.0000 0.0000
Ba 0.5000 0.5000 0.0000
Cd 0.0000 0.5000 0.5000
Cd 0.5000 0.0000 0.5000
Ag 0.5000 0.5000 0.5000

[15]
! PBE Ga6Ni5, relaxed; values from VASP
! E: -4.65 eV per atom
! symmetry: Immm, No. 71
! ΔE_f: -0.367 eV per atom
&SYSTEM
  ibrav = 0, nat = 11, ntyp = 2
/
ATOMIC_SPECIES
Ga 69.72 Ga.upf
Ni 58.69 Ni.upf
CELL_PARAMETERS angstrom
-2.0325 2.9501 6.0275
2.0325 -2.9501 6.0275
2.0325 2.9501 -6.0275
ATOMIC_POSITIONS crystal
Ga 0.0809 0.3399 0.7410
Ga 0.2315 0.0000 0.2315
Ga 0.4011 0.6601 0.7410
Ga 0.5989 0.3399 0.2590
Ga 0.7685 0.0000 0.7685
Ga 0.9191 0.6601 0.2590
Ni 0.1739 0.1739 0.0000
Ni 0.3334 0.8334 0.5000
Ni 0.5000 0.5000 0.0000
Ni 0.6666 0.1666 0.5000
Ni 0.8261 0.8261 0.0000

[16]
! PBE MnTc2Os, relaxed; values from VASP
! E: -10.03 eV per atom
! E above lowest polymorph: 195 meV per atom
! symmetry: P4/mmm, No. 123
! ΔE_f: 0.253 eV per atom
&SYSTEM
  ibrav = 0, nat = 4, ntyp = 3
/
ATOMIC_SPECIES
Mn 54.94 Mn.upf
Tc 98.00 Tc.upf
Os 190.23 Os.upf
CELL_PARAMETERS angstrom
4.4364 0.0000 0.0000
0.0000 4.4364 0.0000
0.0000 0.0000 2.9168
ATOMIC_POSITIONS crystal
Mn 0.0000 0.0000 0.0000
Tc 0.0000 0.5000 0.5000
Tc 0.5000 0.0000 0.5000
Os 0.5000 0.5000 0.0000

[17]
! PBE Ac3MgRh8, relaxed; values from VASP
! E: -6.54 eV per atom
! symmetry: R3m, No. 160
! ΔE_f: -0.478 eV per atom
&SYSTEM
  ibrav = 0, nat = 12, ntyp = 3
/
ATOMIC_SPECIES
Ac 227.00 Ac.upf
Mg 24.30 Mg.upf
Rh 102.91 Rh.upf
CELL_PARAMETERS angstrom
2.7365 1.5799 8.9944
-2.7365 1.5799 8.9944
0.0000 -3.1598 8.9944
ATOMIC_POSITIONS crystal
Ac 0.0000 0.0000 0.0000
Ac 0.1277 0.1277 0.1277
Ac 0.5095 0.5095 0.5095
Mg 0.6332 0.6332 0.6332
Rh 0.0630 0.5646 0.5646
Rh 0.0688 0.0688 0.5678
Rh 0.0688 0.5678 0.0688
Rh 0.3160 0.3160 0.3160
Rh 0.5646 0.0630 0.5646
Rh 0.5646 0.5646 0.0630
Rh 0.5678 0.0688 0.0688
Rh 0.8161 0.8161 0.8161

[18]
! PBE La5Pr3Ho, relaxed; values from VASP
! E: -4.59 eV per atom
! symmetry: I4/mcm, No. 140
! ΔE_f: 0.254 eV per atom
&SYSTEM
  ibrav = 0, nat = 18, ntyp = 3
/
ATOMIC_SPECIES
La 138.91 La.upf
Pr 140.91 Pr.upf
Ho 164.93 Ho.upf
CELL_PARAMETERS angstrom
-4.5713 4.5713 7.8350
4.5713 -4.5713 7.8350
4.5713 4.5713 -7.8350
ATOMIC_POSITIONS crystal
La 0.0000 0.0000 0.0000
La 0.0697 0.5697 0.9191
La 0.1507 0.0697 0.5000
La 0.3493 0.8493 0.9191
La 0.4303 0.3493 0.5000
La 0.5000 0.5000 0.0000
La 0.5697 0.6507 0.5000
La 0.6507 0.1507 0.0809
La 0.8493 0.9303 0.5000
La 0.9303 0.4303 0.0809
Pr 0.1160 0.3840 0.5000
Pr 0.2500 0.2500 0.0000
Pr 0.3840 0.8840 0.2680
Pr 0.6160 0.1160 0.7320
Pr 0.7500 0.7500 0.0000
Pr 0.8840 0.6160 0.5000
Ho 0.2500 0.7500 0.5000
Ho 0.7500 0.2500 0.5000

[19]
! PBE Mg3H5S, relaxed; values from VASP
! E: -2.96 eV per atom
! symmetry: C2/m, No. 12
&SYSTEM
  ibrav = 0, nat = 18, ntyp = 3
/
ATOMIC_SPECIES
Mg 24.30 Mg.upf
H 1.01 H.upf
S 32.06 S.upf
CELL_PARAMETERS angstrom
5.0753 -3.1405 0.0000
5.0753 3.1405 0.0000
-4.6794 0.0000 7.3440
ATOMIC_POSITIONS crystal
Mg 0.0000 0.0000 0.0000
Mg 0.0000 0.0000 0.5000
Mg 0.3112 0.3112 0.3809
Mg 0.3546 0.3546 0.8134
Mg 0.6454 0.6454 0.1866
Mg 0.6888 0.6888 0.6191
H 0.0267 0.6448 0.8028
H 0.2397 0.2397 0.5464
H 0.3130 0.6870 0.5000
H 0.3552 0.9733 0.1972
H 0.4270 0.4270 0.0758
H 0.5730 0.5730 0.9242
H 0.6448 0.0267 0.8028
H 0.6870 0.3130 0.5000
H 0.7603 0.7603 0.4536
H 0.9733 0.3552 0.1972
S 0.1206 0.1206 0.8257
S 0.8794 0.8794 0.1743

[20]
! PBE ZnCo2Cl, relaxed; values from VASP
! E: -3.79 eV per atom
! E above lowest polymorph: 466 meV per atom
! symmetry: Cmmm, No. 65
&SYSTEM
  ibrav = 0, nat = 4, ntyp = 3
/
ATOMIC_SPECIES
Zn 65.41 Zn.upf
Co 58.93 Co.upf
Cl 35.45 Cl.upf
CELL_PARAMETERS angstrom
2.6876 -3.6942 0.0000
2.6876 3.6942 0.0000
0.0000 0.0000 2.7930
ATOMIC_POSITIONS crystal
Zn 0.0000 0.0000 0.0000
Co 0.0000 0.5000 0.5000
Co 0.5000 0.0000 0.5000
Cl 0.5000 0.5000 0.0000